# 1
The following is a DFT calculation (PBE) of a geometry-optimized EuErThIn structure.

## Properties
Spin magnetization: 7.843 μB/f.u.
DFT formation energy: -0.008 eV per atom
Mass density: 9.29 g cm⁻³
Electronic total energy: -6.257 eV per atom
Volume: 29.76 A^3/atom
Space-group type: F-43m

Lattice parameters (Å, degrees): 5.522 5.522 5.522 60.00 60.00 60.00
Last column: magnetic moment on the atom in μB.
Fractional coordinates of all 4 atoms:
1 In 0.250 0.250 0.250  -0.03
2 Th 0.000 0.000 0.000  0.25
3 Eu 0.750 0.750 0.750  6.95
4 Er 0.500 0.500 0.500  0.20

# 2
The following is a DFT calculation (PBE) of a geometry-optimized EuYErIn structure.

## Properties
Spin magnetization: 7.510 μB/f.u.
DFT formation energy: -0.117 eV per atom
Mass density: 7.38 g cm⁻³
Electronic total energy: -6.126 eV per atom
Volume: 29.40 A^3/atom
Space-group type: F-43m

Lattice parameters (Å, degrees): 5.499 5.499 5.499 60.00 60.00 60.00
Last column: magnetic moment on the atom in μB.
Fractional coordinates of all 4 atoms:
1 Y 0.750 0.750 0.750  0.11
2 In 0.000 0.000 0.000  -0.02
3 Er 0.250 0.250 0.250  0.15
4 Eu 0.500 0.500 0.500  6.90

# 3
The following is a DFT calculation (PBE) of a geometry-optimized EuErIr2 structure.

## Properties
Spin magnetization: 6.633 μB/f.u.
DFT formation energy: -0.494 eV per atom
Mass density: 14.27 g cm⁻³
Electronic total energy: -8.634 eV per atom
Volume: 20.47 A^3/atom
Distance to the lowest polymorph of the same formula: 0.21 eV/f.u.
Space-group type: Fm-3m

Lattice parameters (Å, degrees): 4.874 4.874 4.874 60.00 60.00 60.00
Last column: magnetic moment on the atom in μB.
Fractional coordinates of all 4 atoms:
1 Er 0.500 0.500 0.500  0.03
2 Ir 0.250 0.250 0.250  -0.08
3 Ir 0.750 0.750 0.750  -0.08
4 Eu 0.000 0.000 0.000  6.61

# 4
The following is a DFT calculation (PBE) of a geometry-optimized Eu2ErIr structure.

## Properties
Spin magnetization: 14.103 μB/f.u.
DFT formation energy: 0.151 eV per atom
Mass density: 8.55 g cm⁻³
Electronic total energy: -8.342 eV per atom
Volume: 32.21 A^3/atom
Space-group type: R-3m

Lattice parameters (Å, degrees): 3.760 3.760 10.747 79.93 79.93 60.00
Last column: magnetic moment on the atom in μB.
Fractional coordinates of all 4 atoms:
1 Eu 0.891 0.891 0.327  6.80
2 Er 0.000 0.000 0.000  0.20
3 Eu 0.109 0.109 0.673  6.80
4 Ir 0.500 0.500 0.500  -0.37

# 5
The following is a DFT calculation (PBE) of a geometry-optimized EuErIr2 structure.

## Properties
Spin magnetization: 6.696 μB/f.u.
DFT formation energy: -0.547 eV per atom
Mass density: 14.24 g cm⁻³
Electronic total energy: -8.686 eV per atom
Volume: 20.51 A^3/atom
Distance to the lowest polymorph of the same formula: 0.00 eV/f.u.
Space-group type: P4/mmm

Lattice parameters (Å, degrees): 3.332 3.332 7.389 90.00 90.00 90.00
Last column: magnetic moment on the atom in μB.
Fractional coordinates of all 4 atoms:
1 Ir 0.000 0.000 0.771  -0.12
2 Er 0.500 0.500 0.000  0.04
3 Eu 0.500 0.500 0.500  6.69
4 Ir 0.000 0.000 0.229  -0.12

# 6
The following is a DFT calculation (PBE) of a geometry-optimized LiEuErIr structure.

## Properties
Spin magnetization: 7.034 μB/f.u.
DFT formation energy: -0.401 eV per atom
Mass density: 9.95 g cm⁻³
Electronic total energy: -6.804 eV per atom
Volume: 21.62 A^3/atom
Space-group type: F-43m

Lattice parameters (Å, degrees): 4.964 4.964 4.964 60.00 60.00 60.00
Last column: magnetic moment on the atom in μB.
Fractional coordinates of all 4 atoms:
1 Ir 0.500 0.500 0.500  -0.08
2 Er 0.250 0.250 0.250  0.07
3 Eu 0.750 0.750 0.750  6.76
4 Li 0.000 0.000 0.000  0.02